# 1
This record from Alexandria describes FeAgPd3 after structural relaxation. The functional is GGA-PBE.

Output
Offset from the most stable computed form   0 meV per atom
Formation energy   0.031 eV/atom
SG   P2_1/m, No. 11

Lattice parameters (Å, degrees): 6.7447 2.7689 8.9272 90.00 110.44 90.00
With the nearest neighbours (Å) after each atom.
Positions (direct):
Fe 0.0638 0.2500 0.2693  8 Pd 2.67-2.76, 2 Fe 2.77
Fe 0.9362 0.7500 0.7307  8 Pd 2.67-2.76, 2 Fe 2.77
Ag 0.3570 0.2500 0.8526  4 Ag 2.77-3.00, 6 Pd 2.77-2.91, 2 Fe 3.00
Ag 0.6430 0.7500 0.1474  4 Ag 2.77-3.00, 6 Pd 2.77-2.91, 2 Fe 3.00
Pd 0.1833 0.7500 0.0510  5 Pd 2.66-2.77, 3 Fe 2.73-2.76, 3 Ag 2.81-2.91
Pd 0.1862 0.7500 0.5537  3 Fe 2.68-2.75, 7 Pd 2.73-2.82, 2 Ag 2.87
Pd 0.4254 0.7500 0.3592  8 Pd 2.66-2.82, 2 Fe 2.67, 1 Ag 2.77
Pd 0.5746 0.2500 0.6408  8 Pd 2.66-2.82, 2 Fe 2.67, 1 Ag 2.77
Pd 0.8138 0.2500 0.4463  3 Fe 2.68-2.75, 7 Pd 2.73-2.82, 2 Ag 2.87
Pd 0.8167 0.2500 0.9490  5 Pd 2.66-2.77, 3 Fe 2.73-2.76, 3 Ag 2.81-2.91


# 2
This record from Alexandria describes FeAgPd2 after structural relaxation. The functional is GGA-PBE.

Output
Offset from the most stable computed form   34 meV per atom
Formation energy   -0.028 eV/atom
SG   R-3m, No. 166

Lattice parameters (Å, degrees): 2.8152 2.8152 26.7681 90.00 90.00 120.00
With the nearest neighbours (Å) after each atom.
Positions (direct):
Fe 0.0000 0.0000 0.0000  6 Pd 2.62, 6 Fe 2.82
Fe 0.3333 0.6667 0.6667  6 Pd 2.62, 6 Fe 2.82
Fe 0.6667 0.3333 0.3333  6 Pd 2.62, 6 Fe 2.82
Ag 0.0000 0.0000 0.5000  6 Ag 2.82, 6 Pd 2.90
Ag 0.3333 0.6667 0.1667  6 Ag 2.82, 6 Pd 2.90
Ag 0.6667 0.3333 0.8333  6 Ag 2.82, 6 Pd 2.90
Pd 0.0000 0.0000 0.2564  3 Fe 2.62, 6 Pd 2.82, 3 Ag 2.90
Pd 0.0000 0.0000 0.7436  3 Fe 2.62, 6 Pd 2.82, 3 Ag 2.90
Pd 0.3333 0.6667 0.4103  3 Fe 2.62, 6 Pd 2.82, 3 Ag 2.90
Pd 0.3333 0.6667 0.9231  3 Fe 2.62, 6 Pd 2.82, 3 Ag 2.90
Pd 0.6667 0.3333 0.0769  3 Fe 2.62, 6 Pd 2.82, 3 Ag 2.90
Pd 0.6667 0.3333 0.5897  3 Fe 2.62, 6 Pd 2.82, 3 Ag 2.90


# 3
This record from Alexandria describes Fe2AgPd2 after structural relaxation. The functional is GGA-PBE.

Output
Offset from the most stable computed form   0 meV per atom
Formation energy   0.104 eV/atom
SG   P4/mbm, No. 127

Lattice parameters (Å, degrees): 7.4235 7.4235 2.7551 90.00 90.00 90.00
With the nearest neighbours (Å) after each atom.
Positions (direct):
Fe 0.1141 0.3859 0.0000  1 Fe 2.39, 6 Pd 2.58-2.62
Fe 0.3859 0.8859 0.0000  1 Fe 2.39, 6 Pd 2.58-2.62
Fe 0.6141 0.1141 0.0000  1 Fe 2.39, 6 Pd 2.58-2.62
Fe 0.8859 0.6141 0.0000  1 Fe 2.39, 6 Pd 2.58-2.62
Ag 0.0000 0.0000 0.0000  2 Ag 2.76, 4 Fe 2.99, 8 Pd 3.06
Ag 0.5000 0.5000 0.0000  2 Ag 2.76, 4 Fe 2.99, 8 Pd 3.06
Pd 0.1786 0.6786 0.5000  6 Fe 2.58-2.62, 2 Pd 2.76
Pd 0.3214 0.1786 0.5000  6 Fe 2.58-2.62, 2 Pd 2.76
Pd 0.6786 0.8214 0.5000  6 Fe 2.58-2.62, 2 Pd 2.76
Pd 0.8214 0.3214 0.5000  6 Fe 2.58-2.62, 2 Pd 2.76


# 4
This record from Alexandria describes FeAgPd2 after structural relaxation. The functional is GGA-PBE.

Output
Offset from the most stable computed form   372 meV per atom
Formation energy   0.309 eV/atom
SG   I-42d, No. 122

Lattice parameters (Å, degrees): 7.0618 7.0618 5.4104 90.00 90.00 90.00
With the nearest neighbours (Å) after each atom.
Positions (direct):
Fe 0.0000 0.0000 0.0000  4 Pd 2.44, 2 Ag 2.71
Fe 0.0000 0.5000 0.2500  4 Pd 2.44, 2 Ag 2.71
Fe 0.5000 0.0000 0.7500  4 Pd 2.44, 2 Ag 2.71
Fe 0.5000 0.5000 0.5000  4 Pd 2.44, 2 Ag 2.71
Ag 0.0000 0.0000 0.5000  2 Fe 2.71, 4 Pd 2.75
Ag 0.0000 0.5000 0.7500  2 Fe 2.71, 4 Pd 2.75
Ag 0.5000 0.0000 0.2500  2 Fe 2.71, 4 Pd 2.75
Ag 0.5000 0.5000 0.0000  2 Fe 2.71, 4 Pd 2.75
Pd 0.2176 0.2500 0.1250  2 Fe 2.44
Pd 0.2500 0.7176 0.3750  2 Fe 2.44
Pd 0.2500 0.7824 0.8750  2 Fe 2.44
Pd 0.2824 0.2500 0.6250  2 Fe 2.44
Pd 0.7176 0.7500 0.6250  2 Fe 2.44
Pd 0.7500 0.2176 0.8750  2 Fe 2.44
Pd 0.7500 0.2824 0.3750  2 Fe 2.44
Pd 0.7824 0.7500 0.1250  2 Fe 2.44


# 5
This record from Alexandria describes Fe2AgPd8 after structural relaxation. The functional is GGA-PBE.

Output
Formation energy   -0.072 eV/atom
SG   C2/m, No. 12

Lattice parameters (Å, degrees): 7.2815 7.2815 6.2756 106.02 106.02 31.52
With the nearest neighbours (Å) after each atom.
Positions (direct):
Fe 0.2252 0.2252 0.1506  10 Pd 2.65-2.75, 2 Fe 2.95
Fe 0.7748 0.7748 0.8494  10 Pd 2.65-2.75, 2 Fe 2.95
Ag 0.5000 0.5000 0.5000  12 Pd 2.76-2.88
Pd 0.0470 0.0470 0.2240  1 Fe 2.67, 9 Pd 2.74-2.95, 2 Ag 2.83
Pd 0.1464 0.1464 0.7061  3 Fe 2.65-2.69, 7 Pd 2.71-2.95, 2 Ag 2.88
Pd 0.3171 0.3171 0.5853  3 Fe 2.66-2.75, 8 Pd 2.71-2.84, 1 Ag 2.76
Pd 0.3993 0.3993 0.0345  3 Fe 2.67-2.74, 8 Pd 2.72-2.98, 1 Ag 2.86
Pd 0.6007 0.6007 0.9655  3 Fe 2.67-2.74, 8 Pd 2.72-2.98, 1 Ag 2.86
Pd 0.6829 0.6829 0.4147  3 Fe 2.66-2.75, 8 Pd 2.71-2.84, 1 Ag 2.76
Pd 0.8536 0.8536 0.2939  3 Fe 2.65-2.69, 7 Pd 2.71-2.95, 2 Ag 2.88
Pd 0.9530 0.9530 0.7760  1 Fe 2.67, 9 Pd 2.74-2.95, 2 Ag 2.83


# 6
This record from Alexandria describes FeAg2Pd8 after structural relaxation. The functional is GGA-PBE.

Output
Formation energy   -0.050 eV/atom
SG   C2/m, No. 12

Lattice parameters (Å, degrees): 7.4026 7.4026 6.2801 104.99 104.99 31.09
With the nearest neighbours (Å) after each atom.
Positions (direct):
Fe 0.0000 0.0000 0.0000  12 Pd 2.72-2.79
Ag 0.2737 0.2737 0.3629  10 Pd 2.82-2.88, 2 Ag 2.83
Ag 0.7263 0.7263 0.6371  10 Pd 2.82-2.88, 2 Ag 2.83
Pd 0.0870 0.0870 0.4421  1 Fe 2.72, 8 Pd 2.74-2.86, 3 Ag 2.84
Pd 0.1777 0.1777 0.9081  1 Fe 2.75, 8 Pd 2.77-2.90, 3 Ag 2.82
Pd 0.3691 0.3691 0.8301  7 Pd 2.71-2.90, 2 Fe 2.74, 3 Ag 2.87-2.88
Pd 0.4564 0.4564 0.2706  9 Pd 2.71-2.86, 2 Fe 2.79, 1 Ag 2.82
Pd 0.5436 0.5436 0.7294  9 Pd 2.71-2.86, 2 Fe 2.79, 1 Ag 2.82
Pd 0.6309 0.6309 0.1699  7 Pd 2.71-2.90, 2 Fe 2.74, 3 Ag 2.87-2.88
Pd 0.8223 0.8223 0.0919  1 Fe 2.75, 8 Pd 2.77-2.90, 3 Ag 2.82
Pd 0.9130 0.9130 0.5579  1 Fe 2.72, 8 Pd 2.74-2.86, 3 Ag 2.84


# 7
This record from Alexandria describes Fe2AgPd3 after structural relaxation. The functional is GGA-PBE.

Output
Formation energy   -0.054 eV/atom
SG   P4/mmm, No. 123

Lattice parameters (Å, degrees): 2.7863 2.7863 11.4360 90.00 90.00 90.00
With the nearest neighbours (Å) after each atom.
Positions (direct):
Fe 0.0000 0.0000 0.1599  8 Pd 2.64-2.69, 4 Fe 2.79
Fe 0.0000 0.0000 0.8401  8 Pd 2.64-2.69, 4 Fe 2.79
Ag 0.0000 0.0000 0.5000  4 Ag 2.79, 8 Pd 2.90
Pd 0.5000 0.5000 0.0000  8 Fe 2.69, 4 Pd 2.79
Pd 0.5000 0.5000 0.3135  4 Fe 2.64, 4 Pd 2.79, 4 Ag 2.90
Pd 0.5000 0.5000 0.6865  4 Fe 2.64, 4 Pd 2.79, 4 Ag 2.90


# 8
This record from Alexandria describes FeAgPd3 after structural relaxation. The functional is GGA-PBE.

Output
Offset from the most stable computed form   70 meV per atom
Formation energy   0.101 eV/atom
SG   Pmmn, No. 59

Lattice parameters (Å, degrees): 2.7756 8.1962 7.5064 90.00 90.00 90.00
With the nearest neighbours (Å) after each atom.
Positions (direct):
Fe 0.2500 0.2500 0.0063  8 Pd 2.58-2.63, 2 Fe 2.78
Fe 0.7500 0.7500 0.9937  8 Pd 2.58-2.63, 2 Fe 2.78
Ag 0.2500 0.2500 0.3943  2 Ag 2.78, 6 Pd 2.78-2.85, 1 Fe 2.91
Ag 0.7500 0.7500 0.6057  2 Ag 2.78, 6 Pd 2.78-2.85, 1 Fe 2.91
Pd 0.2500 0.5286 0.8333  3 Fe 2.58-2.63, 4 Pd 2.78-2.82, 2 Ag 2.85
Pd 0.2500 0.7500 0.2848  2 Fe 2.59, 6 Pd 2.78-2.82, 2 Ag 2.78
Pd 0.2500 0.9714 0.8333  3 Fe 2.58-2.63, 4 Pd 2.78-2.82, 2 Ag 2.85
Pd 0.7500 0.0286 0.1667  3 Fe 2.58-2.63, 4 Pd 2.78-2.82, 2 Ag 2.85
Pd 0.7500 0.2500 0.7152  2 Fe 2.59, 6 Pd 2.78-2.82, 2 Ag 2.78
Pd 0.7500 0.4714 0.1667  3 Fe 2.58-2.63, 4 Pd 2.78-2.82, 2 Ag 2.85


no.,total energy (eV per atom)
1,-5.347
2,-5.453
3,-5.928
4,-5.116
5,-5.647
6,-5.115
7,-5.946
8,-5.277